[1]
Material: ReOsRh2
Method: DFT, PBE
State: optimized geometry

Geometry as POSCAR:
```
ReOsRh2
1.0
-1.946 1.946 3.786
1.946 -1.946 3.786
1.946 1.946 -3.786
Re Os Rh
1 1 2
Cartesian
0.000 0.000 0.000 Re
1.946 0.000 1.893 Os
0.000 0.000 3.786 Rh
0.000 1.946 1.893 Rh
```

ΔE to the lowest computed polymorph (meV/atom): 63
ΔE_f (meV/atom): 4
Space group: No. 119

[2]
Material: AsP2Os
Method: DFT, PBE
State: optimized geometry

Geometry as POSCAR:
```
AsP2Os
1.0
3.925 -1.735 0.000
3.925 1.735 0.000
-1.194 0.000 5.163
As P Os
1 2 1
Cartesian
0.000 0.000 0.000 As
4.450 0.000 3.295 P
5.969 0.000 1.572 P
2.108 0.000 3.293 Os
```

ΔE_f (meV/atom): 118
Space group: No. 8

[3]
Material: SiSe
Method: DFT, PBE
State: optimized geometry

Geometry as POSCAR:
```
SiSe
1.0
6.739 0.000 0.000
-3.369 5.836 0.000
0.000 0.000 3.382
Si Se
3 3
Cartesian
0.000 0.000 0.000 Si
0.000 3.891 1.691 Si
3.369 1.945 1.691 Si
-1.685 2.918 0.000 Se
3.369 0.000 0.000 Se
1.685 2.918 0.000 Se
```

Formation energy from raw total energies (eV/atom): 0.4387
Space group: No. 191

[4]
Material: AcInH2O4
Method: DFT, PBE
State: optimized geometry

Geometry as POSCAR:
```
AcInH2O4
1.0
-2.447 2.943 3.323
2.447 -2.943 3.323
2.447 2.943 -3.323
Ac In H O
1 1 2 4
Cartesian
0.000 0.000 0.000 Ac
0.000 0.000 3.323 In
2.447 0.000 2.074 H
0.000 2.943 1.249 H
0.966 2.164 -1.299 O
1.481 0.778 2.024 O
1.481 -0.778 4.622 O
0.966 3.721 1.299 O
```

DFT total energy (eV per atom): -5.9666
Space group: No. 23

[5]
Material: HgRu5
Method: DFT, PBE
State: optimized geometry

Geometry as POSCAR:
```
HgRu5
1.0
5.104 -1.393 0.000
5.104 1.393 0.000
-1.669 0.000 6.314
Hg Ru
1 5
Cartesian
0.000 0.000 0.000 Hg
-0.457 0.000 3.778 Ru
2.183 0.000 4.117 Ru
3.377 0.000 1.822 Ru
6.279 0.000 2.163 Ru
5.845 0.000 5.851 Ru
```

ΔE to the lowest computed polymorph (meV/atom): 0
ΔE_f (meV/atom): 297
Space group: No. 8

[6]
Material: Nd2MgI
Method: DFT, PBE
State: optimized geometry

Geometry as POSCAR:
```
Nd2MgI
1.0
1.830 1.057 11.901
-1.830 1.057 11.901
0.000 -2.113 11.901
Nd Mg I
2 1 1
Cartesian
0.000 0.000 3.383 Nd
0.000 0.000 32.320 Nd
0.000 0.000 0.000 Mg
0.000 0.000 17.851 I
```

ΔE to the lowest computed polymorph (meV/atom): 289
Formation energy from raw total energies (eV/atom): -0.1016
Space group: No. 166

[7]
Material: SmEuPu4
Method: DFT, PBE
State: optimized geometry

Geometry as POSCAR:
```
SmEuPu4
1.0
0.000 4.451 4.451
4.451 0.000 4.451
4.451 4.451 0.000
Sm Eu Pu
1 1 4
Cartesian
0.000 0.000 0.000 Sm
2.225 2.225 2.225 Eu
5.569 3.333 3.333 Pu
3.333 5.569 3.333 Pu
3.333 3.333 5.569 Pu
5.569 5.569 5.569 Pu
```

ΔE_f (meV/atom): 303
Space group: No. 216

[8]
Material: Th2AlZnPt6
Method: DFT, PBE
State: optimized geometry

Geometry as POSCAR:
```
Th2AlZnPt6
1.0
5.771 0.000 0.000
-2.884 5.018 0.000
-2.881 -1.658 7.290
Th Al Zn Pt
2 1 1 6
Cartesian
-1.435 0.838 2.625 Th
1.440 2.522 4.665 Th
1.445 -0.829 3.645 Al
1.443 2.509 0.000 Zn
-2.879 3.341 1.857 Pt
-0.008 0.019 5.422 Pt
-1.449 2.519 5.433 Pt
1.454 0.841 1.858 Pt
0.014 3.341 1.868 Pt
2.884 0.019 5.433 Pt
```

ΔE_f (meV/atom): -840
Space group: No. 2

[9]
Material: Sm4YCo2
Method: DFT, PBE
State: optimized geometry

Geometry as POSCAR:
```
Sm4YCo2
1.0
7.782 0.000 0.000
0.000 6.506 0.000
-3.041 0.000 7.176
Sm Y Co
8 2 4
Cartesian
-0.473 1.626 3.445 Sm
0.581 4.879 1.799 Sm
-0.750 3.271 6.540 Sm
-0.750 6.487 6.540 Sm
5.491 0.019 0.637 Sm
5.491 3.234 0.637 Sm
4.160 1.626 5.377 Sm
5.214 4.879 3.731 Sm
2.642 1.626 2.440 Y
2.099 4.879 4.736 Y
0.344 1.626 0.941 Co
1.513 1.626 5.449 Co
3.228 4.879 1.728 Co
4.397 4.879 6.236 Co
```

ΔE_f (meV/atom): 15
Space group: No. 11

[10]
Material: Ti5Co2Sn
Method: DFT, PBE
State: optimized geometry

Geometry as POSCAR:
```
Ti5Co2Sn
1.0
-1.536 3.142 6.783
1.536 -3.142 6.783
1.536 3.142 -6.783
Ti Co Sn
5 2 1
Cartesian
0.000 0.000 0.000 Ti
1.536 1.533 -1.946 Ti
1.536 1.533 1.946 Ti
0.000 1.609 4.837 Ti
0.000 1.609 8.728 Ti
0.000 0.000 2.949 Co
0.000 0.000 10.616 Co
0.000 3.142 0.000 Sn
```

ΔE_f (meV/atom): -218
Space group: No. 71

[11]
Material: LiScMo3
Method: DFT, PBE
State: optimized geometry

Geometry as POSCAR:
```
LiScMo3
1.0
4.662 0.000 0.000
0.000 4.662 0.000
0.000 0.000 4.662
Li Sc Mo
1 1 3
Cartesian
0.000 0.000 0.000 Li
2.331 2.331 2.331 Sc
0.000 2.331 2.331 Mo
2.331 0.000 2.331 Mo
2.331 2.331 0.000 Mo
```

ΔE to the lowest computed polymorph (meV/atom): 816
ΔE_f (meV/atom): 1955
Space group: No. 221

[12]
Material: DyHoScAg
Method: DFT, PBE
State: optimized geometry

Geometry as POSCAR:
```
DyHoScAg
1.0
3.506 0.000 0.000
0.000 3.506 0.000
0.000 0.000 8.482
Dy Ho Sc Ag
1 1 1 1
Cartesian
0.000 0.000 0.000 Dy
0.000 0.000 4.600 Ho
1.753 1.753 2.305 Sc
1.753 1.753 6.523 Ag
```

ΔE to the lowest computed polymorph (meV/atom): 0
ΔE_f (meV/atom): -114
Space group: No. 99

[13]
Material: Th3Ga2BRu3
Method: DFT, PBE
State: optimized geometry

Geometry as POSCAR:
```
Th3Ga2BRu3
1.0
7.468 0.000 0.000
-3.734 6.468 0.000
0.000 0.000 3.679
Th Ga B Ru
3 2 1 3
Cartesian
-2.379 4.120 0.000 Th
1.355 2.347 0.000 Th
4.758 0.000 0.000 Th
0.000 4.312 1.840 Ga
3.734 2.156 1.840 Ga
0.000 0.000 0.000 B
-0.809 1.402 1.840 Ru
1.619 0.000 1.840 Ru
2.925 5.066 1.840 Ru
```

ΔE_f (meV/atom): -387
Space group: No. 189

[14]
Material: Ba2Zn7Pd
Method: DFT, PBE
State: optimized geometry

Geometry as POSCAR:
```
Ba2Zn7Pd
1.0
4.513 0.000 0.000
0.000 4.513 0.000
0.000 0.000 11.014
Ba Zn Pd
2 7 1
Cartesian
0.000 2.256 2.717 Ba
2.256 0.000 8.297 Ba
0.000 0.000 0.000 Zn
0.000 0.000 5.507 Zn
0.000 2.256 6.881 Zn
0.000 2.256 9.673 Zn
2.256 0.000 1.341 Zn
2.256 0.000 4.133 Zn
2.256 2.256 5.507 Zn
2.256 2.256 0.000 Pd
```

ΔE_f (meV/atom): -250
Space group: No. 115

[15]
Material: NaCaEuPb
Method: DFT, PBE
State: optimized geometry

Geometry as POSCAR:
```
NaCaEuPb
1.0
0.000 4.005 4.005
4.005 0.000 4.005
4.005 4.005 0.000
Na Ca Eu Pb
1 1 1 1
Cartesian
0.000 0.000 0.000 Na
6.007 6.007 6.007 Ca
2.002 2.002 2.002 Eu
4.005 4.005 4.005 Pb
```

ΔE_f (meV/atom): -341
Space group: No. 216

[16]
Material: Ho4InRu2Pt
Method: DFT, PBE
State: optimized geometry

Geometry as POSCAR:
```
Ho4InRu2Pt
1.0
2.468 1.425 8.095
-2.468 1.425 8.095
0.000 -2.850 8.095
Ho In Ru Pt
4 1 2 1
Cartesian
0.000 0.000 2.903 Ho
0.000 0.000 9.004 Ho
0.000 0.000 15.282 Ho
0.000 0.000 21.383 Ho
0.000 0.000 12.143 In
0.000 0.000 6.027 Ru
0.000 0.000 18.258 Ru
0.000 0.000 0.000 Pt
```

ΔE_f (meV/atom): -589
Space group: No. 166

[17]
Material: KTi2HgO6
Method: DFT, PBE
State: optimized geometry

Geometry as POSCAR:
```
KTi2HgO6
1.0
4.932 -5.865 0.000
4.932 5.865 0.000
-2.491 0.000 5.950
K Ti Hg O
2 4 2 12
Cartesian
3.064 4.777 4.463 K
4.310 -4.777 1.488 K
1.443 0.875 4.859 Ti
2.688 -0.875 1.884 Ti
4.686 0.875 4.066 Ti
5.931 -0.875 1.091 Ti
4.310 2.964 1.488 Hg
3.064 -2.964 4.463 Hg
-0.194 1.051 4.213 O
1.744 2.615 5.408 O
1.051 -1.051 1.238 O
2.414 0.367 3.292 O
4.385 2.615 3.517 O
3.660 -0.367 0.317 O
3.714 0.367 5.633 O
2.989 -2.615 2.433 O
4.959 -0.367 2.658 O
6.323 1.051 4.713 O
5.630 -2.615 0.542 O
7.568 -1.051 1.738 O
```

Formation energy from raw total energies (eV/atom): -2.0250
Space group: No. 15

[18]
Material: RbTa2MnSe
Method: DFT, PBE
State: optimized geometry

Geometry as POSCAR:
```
RbTa2MnSe
1.0
4.605 0.000 0.000
0.000 4.605 0.000
0.000 0.000 5.813
Rb Ta Mn Se
1 2 1 1
Cartesian
0.000 0.000 0.000 Rb
0.000 2.303 2.907 Ta
2.303 0.000 2.907 Ta
2.303 2.303 2.907 Mn
2.303 2.303 0.000 Se
```

Formation energy from raw total energies (eV/atom): 1.0697
Space group: No. 123

[19]
Material: CaBi2I2
Method: DFT, PBE
State: optimized geometry

Geometry as POSCAR:
```
CaBi2I2
1.0
8.354 0.000 0.000
0.000 8.354 0.000
0.000 0.000 6.088
Ca Bi I
2 4 4
Cartesian
0.000 0.000 0.000 Ca
4.177 4.177 0.000 Ca
1.080 3.097 0.000 Bi
3.097 7.274 0.000 Bi
5.257 1.080 0.000 Bi
7.274 5.257 0.000 Bi
1.605 2.572 3.044 I
2.572 6.749 3.044 I
5.782 1.605 3.044 I
6.749 5.782 3.044 I
```

ΔE to the lowest computed polymorph (meV/atom): 0
Formation energy from raw total energies (eV/atom): -0.3675
Space group: No. 127

[20]
Material: AlTeAsSe2
Method: DFT, PBE
State: optimized geometry

Geometry as POSCAR:
```
AlTeAsSe2
1.0
5.357 0.000 0.000
0.000 5.357 0.000
0.000 0.000 5.337
Al Te As Se
1 1 1 2
Cartesian
0.000 0.000 0.000 Al
0.000 0.000 2.668 Te
2.679 2.679 0.000 As
0.000 2.679 2.668 Se
2.679 0.000 2.668 Se
```

ΔE to the lowest computed polymorph (meV/atom): 610
Formation energy from raw total energies (eV/atom): 0.8435
Space group: No. 123

| no. | DOS at the Fermi energy (states/eV/cell) | total moment (μB per formula unit) |
| --- | --- | --- |
| 1 | 3.71 | 0.0 |
| 2 | 1.15 | 0.0 |
| 3 | 3.21 | 0.0 |
| 4 | 0.00 | 0.0 |
| 5 | 6.51 | 0.0 |
| 6 | 5.45 | 0.0 |
| 7 | 30.19 | 16.6 |
| 8 | 5.11 | 0.0 |
| 9 | 17.95 | 0.0 |
| 10 | 6.03 | 0.0 |
| 11 | 9.02 | 0.0 |
| 12 | 5.92 | 0.0 |
| 13 | 10.15 | 0.0 |
| 14 | 6.88 | 0.0 |
| 15 | 11.79 | 7.2 |
| 16 | 4.89 | 0.0 |
| 17 | 13.96 | 1.0 |
| 18 | 4.31 | 0.0 |
| 19 | 5.24 | 0.0 |
| 20 | 4.43 | 1.2 |